A geometry-optimized GdErAs2 structure, computed with PBE-GGA.

Lattice parameters (Å, degrees): 7.1416 7.1416 7.1416 33.59 33.59 33.59
Positions (direct):
1 Gd 0.0000 0.0000 0.0000
2 Er 0.5000 0.5000 0.5000
3 As 0.2484 0.2484 0.2484
4 As 0.7516 0.7516 0.7516

final energy	-8.5138	eV per atom
symmetry	R-3m, No. 166
crystal system	trigonal


A geometry-optimized CeSi4Pd12 structure, computed with PBE-GGA.

Lattice parameters (Å, degrees): 7.2692 7.2692 7.2692 109.47 109.47 109.47
Positions (direct):
1 Ce 0.0000 0.0000 0.0000
2 Si 0.0000 0.0000 0.5000
3 Si 0.0000 0.5000 0.0000
4 Si 0.5000 0.0000 0.0000
5 Si 0.5000 0.5000 0.5000
6 Pd 0.1659 0.5056 0.3397
7 Pd 0.1659 0.8263 0.6603
8 Pd 0.1737 0.3397 0.8341
9 Pd 0.3397 0.1659 0.5056
10 Pd 0.3397 0.8341 0.1737
11 Pd 0.4944 0.6603 0.8341
12 Pd 0.5056 0.3397 0.1659
13 Pd 0.6603 0.1659 0.8263
14 Pd 0.6603 0.8341 0.4944
15 Pd 0.8263 0.6603 0.1659
16 Pd 0.8341 0.1737 0.3397
17 Pd 0.8341 0.4944 0.6603

formation energy (no corrections)	-0.439	eV per atom
symmetry	Im-3, No. 204
crystal system	cubic


A geometry-optimized In2IrBr structure, computed with PBE-GGA.

Lattice parameters (Å, degrees): 5.4547 5.4547 5.4547 137.23 113.79 82.10
Positions (direct):
1 In 0.2190 0.2190 0.0000
2 In 0.7810 0.7810 0.0000
3 Ir 0.0000 0.5000 0.5000
4 Br 0.5000 0.0000 0.5000

energy above the most stable polymorph in this dataset	494.0	meV per atom
formation energy (no corrections)	0.383	eV per atom
symmetry	Immm, No. 71
crystal system	orthorhombic


A geometry-optimized Co2WCl structure, computed with PBE-GGA.

Lattice parameters (Å, degrees): 4.0763 4.0763 6.4600 92.29 92.29 40.58
Positions (direct):
1 Co 0.0000 0.0000 0.0000
2 Co 0.7235 0.7235 0.1617
3 W 0.2651 0.2651 0.8312
4 Cl 0.7230 0.7230 0.5202

energy above the most stable polymorph in this dataset	162.3	meV per atom
formation energy (no corrections)	0.442	eV per atom
symmetry	Cm, No. 8
crystal system	monoclinic


What are the calculated volume values for these records? In order: 99; 296; 97; 70 Å³ per cell.